(A)
VASP calculation (GGA-PBE) on crystalline CdBi3N at its relaxed geometry.

Values from the calculation:
The volume comes out at 27.50 Å³/atom. The total moment comes out at 0.000 μB/cell. The density of states at the Fermi level is 0.472 states/eV/atom.

POSCAR file:
```
CdBi3N
1.0
-6.1560 -0.6730 2.3034
2.3976 -3.6805 2.6027
2.5294 6.3428 4.9992
Bi Cd N
6 2 2
direct
0.8490 0.4677 0.0923
0.0811 0.0600 0.8137
0.5191 0.8321 0.9622
0.2871 0.2398 0.2408
0.8178 0.0019 0.3925
0.5503 0.2979 0.6621
0.3561 0.7708 0.4508
0.0119 0.5291 0.6036
0.6140 0.1574 0.1852
0.7542 0.1424 0.8693
```


(B)
VASP calculation (GGA-PBE) on crystalline CdBi3N at its relaxed geometry.

Values from the calculation:
The volume comes out at 35.20 Å³/atom. The total moment comes out at 0.000 μB/cell. The density of states at the Fermi level is 1.936 states/eV/atom.

POSCAR file:
```
CdBi3N
1.0
-3.2638 3.0386 -3.3942
-0.5770 -4.4175 -3.3999
-4.5189 -1.6306 2.8856
Cd Bi N
1 3 1
direct
0.0000 0.0000 0.0000
0.5000 0.0000 0.0000
0.0000 0.5000 0.0000
0.0000 0.0000 0.5000
0.5000 0.5000 0.5000
```


(C)
VASP calculation (GGA-PBE) on crystalline CdBi3N at its relaxed geometry.

Values from the calculation:
The volume comes out at 25.06 Å³/atom. The total moment comes out at 0.000 μB/cell. The density of states at the Fermi level is 0.579 states/eV/atom.

POSCAR file:
```
CdBi3N
1.0
5.0039 0.0000 0.0000
0.0000 5.0039 0.0000
0.0000 0.0000 5.0039
N Cd Bi
1 1 3
direct
0.0000 0.0000 0.0000
0.5000 0.5000 0.5000
0.0000 0.0000 0.5000
0.0000 0.5000 0.0000
0.5000 0.0000 0.0000
```


Most stable structure: (A)


(A)
VASP calculation (GGA-PBE) on crystalline CdBiN2 at its relaxed geometry.

Values from the calculation:
The volume comes out at 18.40 Å³/atom. The total moment comes out at 0.000 μB/cell. The density of states at the Fermi level is 0.510 states/eV/atom.

POSCAR file:
```
CdBiN2
1.0
2.0951 0.0000 6.4540
-1.0475 1.8144 6.4540
-1.0475 -1.8144 6.4540
Bi Cd N
1 1 2
direct
0.5000 0.5000 0.5000
0.0000 0.0000 0.0000
0.8935 0.8935 0.8935
0.1065 0.1065 0.1065
```


(B)
VASP calculation (GGA-PBE) on crystalline CdBiN2 at its relaxed geometry.

Values from the calculation:
The volume comes out at 37.78 Å³/atom. The total moment comes out at 0.000 μB/cell. The density of states at the Fermi level is 0.110 states/eV/atom.

POSCAR file:
```
CdBiN2
1.0
5.8948 0.9252 1.1978
3.7948 3.3693 0.3835
1.5216 0.4238 9.5255
Cd N Bi
1 2 1
direct
0.2247 0.9300 0.2318
0.8846 0.2102 0.6248
0.7998 0.3910 0.7222
0.7899 0.8948 0.1599
```


(C)
VASP calculation (GGA-PBE) on crystalline CdBiN2 at its relaxed geometry.

Values from the calculation:
The volume comes out at 14.80 Å³/atom. The total moment comes out at 1.002 μB/cell. The density of states at the Fermi level is 0.513 states/eV/atom.

POSCAR file:
```
CdBiN2
1.0
3.0496 -2.4100 -2.0077
3.0193 -2.1136 2.3569
-0.1157 -4.3633 0.2955
N Cd Bi
2 1 1
direct
0.2500 0.2500 0.2500
0.7500 0.7500 0.7500
0.0000 0.0000 0.0000
0.5000 0.5000 0.5000
```


(D)
VASP calculation (GGA-PBE) on crystalline CdBiN2 at its relaxed geometry.

Values from the calculation:
The volume comes out at 18.41 Å³/atom. The total moment comes out at 0.000 μB/cell. The density of states at the Fermi level is 0.427 states/eV/atom.

POSCAR file:
```
CdBiN2
1.0
5.2704 0.0000 0.0000
0.0000 5.2704 0.0000
2.6352 2.6352 5.3010
N Cd Bi
4 2 2
direct
0.8750 0.8848 0.7500
0.6348 0.1250 0.2500
0.3750 0.3652 0.7500
0.1152 0.6250 0.2500
0.2500 0.7500 0.5000
0.5000 0.5000 0.0000
0.0000 0.0000 0.0000
0.7500 0.2500 0.5000
```


Most stable structure: (B)


(A)
VASP calculation (GGA-PBE) on crystalline CdBiSN2 at its relaxed geometry.

Values from the calculation:
The volume comes out at 20.66 Å³/atom. The total moment comes out at 1.641 μB/cell. The density of states at the Fermi level is 0.685 states/eV/atom.

POSCAR file:
```
CdBiSN2
1.0
4.2723 0.0000 0.0000
0.0000 4.2723 0.0000
0.0000 0.0000 5.6583
N Cd S Bi
2 1 1 1
direct
0.5000 0.0000 0.0000
0.0000 0.5000 0.0000
0.5000 0.5000 0.5000
0.0000 0.0000 0.5000
0.0000 0.0000 0.0000
```


(B)
VASP calculation (GGA-PBE) on crystalline CdBiSN2 at its relaxed geometry.

Values from the calculation:
The volume comes out at 19.54 Å³/atom. The total moment comes out at 2.447 μB/cell. The density of states at the Fermi level is 0.497 states/eV/atom.

POSCAR file:
```
CdBiSN2
1.0
-0.3097 -2.4733 3.4886
4.2334 -0.6719 -0.1006
0.7495 4.2603 3.0869
S Cd N Bi
1 1 2 1
direct
0.0000 0.0000 0.5000
0.0000 0.0000 0.0000
0.0000 0.5000 0.0000
0.5000 0.0000 0.0000
0.5000 0.5000 0.5000
```


Most stable structure: (A)